The following is a DFT calculation (PBE-GGA) of Rb2ZrPI6 after structural relaxation.

Unit cell a=9.1258 b=9.1258 c=8.5117 alpha=57.58 beta=57.58 gamma=90.00
Last column: magnetic moment on the atom in μB.
Fractional coordinates of all 10 atoms:
I 0.2594 0.2594 0.4812  0.03
I 0.7406 0.7406 0.5188  0.03
I 0.2257 0.2257 0.0000  0.02
I 0.7743 0.7743 0.0000  0.02
I 0.7743 0.2257 0.0000  0.02
I 0.2257 0.7743 0.0000  0.02
P 0.5000 0.5000 0.0000  0.48
Rb 0.7500 0.2500 0.5000  0.00
Rb 0.2500 0.7500 0.5000  0.00
Zr 0.0000 0.0000 0.0000  -0.20

Space-group type   I4/mmm, No. 139
DOS(E_F)   0.8385 states/eV/atom
E_form (uncorrected)   -0.683 eV per atom
Volume   462.3 Å³/cell